Er4AlCu2 (GGA-PBE, optimized geometry); formation energy = -17 kJ/mol of atoms; energy above the most stable polymorph in this dataset = 0 meV/atom
1.0
2.447 1.413 7.830
-2.447 1.413 7.830
0.000 -2.826 7.830
Er Al Cu
4 1 2
direct
0.117 0.117 0.117
0.370 0.370 0.370
0.630 0.630 0.630
0.883 0.883 0.883
0.500 0.500 0.500
0.243 0.243 0.243
0.757 0.757 0.757